DFT (SCAN) results for a crystal of CrMo3 relaxed with PBEsol.

POSCAR file:
```
CrMo3
1.0
-4.983 -0.578 -3.501
-3.138 -2.188 4.773
-1.696 5.698 1.486
Cr Mo
4 12
Cartesian
-1.703 5.678 1.484
-3.290 3.577 1.429
-0.863 2.857 0.748
-4.898 1.477 1.379
-3.262 4.597 3.847
-5.732 4.302 2.115
-4.175 5.393 -0.246
-7.376 2.182 2.069
-2.442 0.755 0.691
-3.337 2.568 -0.978
-2.426 1.773 3.107
-6.536 -0.643 1.332
-4.866 2.470 3.844
-4.953 0.461 -1.077
-5.800 3.285 -0.347
-4.022 -0.352 3.099
```

Summary:
Crystal system: monoclinic
Formation energy, meV/atom: 55
Symmetry: Cm (8)
Total magnetization, μB per formula unit: 0.09